Record 1
Below is crystalline MnSbS2 at its relaxed geometry, with properties calculated at the GGA-PBE level.

Structure (POSCAR):
```
MnSbS2
1.0
6.0498 0.0000 0.0000
0.0000 3.2524 0.0000
-0.9475 0.0000 7.9898
Mn Sb S
2 2 4
Direct
0.0000 0.0000 0.0000
0.5000 0.4976 0.0000
0.2499 0.7501 0.5002
0.7501 0.7501 0.4998
0.1987 0.5084 0.1616
0.3014 0.9889 0.8385
0.6986 0.9889 0.1615
0.8013 0.5084 0.8384
```

- Total moment: 4.64 Bohr magnetons per cell
- Energy relative to the elements, uncorrected: -0.3492 eV/atom
- DOS at the Fermi energy: 2.3 states/eV/f.u.

Record 2
Below is crystalline Mn3SbS at its relaxed geometry, with properties calculated at the GGA-PBE level.

Structure (POSCAR):
```
Mn3SbS
1.0
5.1035 0.0000 0.0000
0.0000 5.1035 0.0000
0.0000 0.0000 5.1035
Mn Sb S
3 1 1
Direct
0.0000 0.0000 0.5000
0.0000 0.5000 0.0000
0.5000 0.0000 0.0000
0.0000 0.0000 0.0000
0.5000 0.5000 0.5000
```

- Total moment: 14.00 Bohr magnetons per cell
- Energy relative to the elements, uncorrected: 0.9656 eV/atom
- DOS at the Fermi energy: 3.9 states/eV/f.u.

Record 3
Below is crystalline MnSb3S at its relaxed geometry, with properties calculated at the GGA-PBE level.

Structure (POSCAR):
```
MnSb3S
1.0
4.9139 0.0000 0.0000
0.0000 4.9139 0.0000
0.0000 0.0000 4.9139
Mn Sb S
1 3 1
Direct
0.0000 0.0000 0.0000
0.0000 0.0000 0.5000
0.0000 0.5000 0.0000
0.5000 0.0000 0.0000
0.5000 0.5000 0.5000
```

- Total moment: 1.11 Bohr magnetons per cell
- Energy relative to the elements, uncorrected: 0.3649 eV/atom
- DOS at the Fermi energy: 3.1 states/eV/f.u.

Record 4
Below is crystalline Sm2Mn3Sb4S12 at its relaxed geometry, with properties calculated at the GGA-PBE level.

Structure (POSCAR):
```
Sm2Mn3Sb4S12
1.0
10.0038 -1.9407 0.0000
10.0038 1.9407 0.0000
-8.7914 0.0000 11.9735
Sm Mn Sb S
2 3 4 12
Direct
0.2407 0.2407 0.1384
0.7593 0.7593 0.8616
0.0000 0.0000 0.0000
0.1959 0.1959 0.3762
0.8041 0.8041 0.6238
0.1079 0.1079 0.5483
0.4552 0.4552 0.1806
0.5448 0.5448 0.8194
0.8921 0.8921 0.4517
0.0540 0.0540 0.1963
0.1723 0.1723 0.8998
0.2586 0.2586 0.7099
0.3402 0.3402 0.5442
0.3968 0.3968 0.9744
0.4084 0.4084 0.3466
0.5916 0.5916 0.6534
0.6032 0.6032 0.0256
0.6598 0.6598 0.4558
0.7414 0.7414 0.2901
0.8277 0.8277 0.1002
0.9460 0.9460 0.8037
```

- Total moment: 15.01 Bohr magnetons per cell
- Energy relative to the elements, uncorrected: -0.7651 eV/atom
- DOS at the Fermi energy: 0.7 states/eV/f.u.

Record 5
Below is crystalline MnSbTe2S at its relaxed geometry, with properties calculated at the GGA-PBE level.

Structure (POSCAR):
```
MnSbTe2S
1.0
5.1546 0.0000 0.0000
0.0000 5.1546 0.0000
0.0000 0.0000 5.1601
Mn Sb Te S
1 1 2 1
Direct
0.0000 0.0000 0.0000
0.5000 0.5000 0.0000
0.0000 0.5000 0.5000
0.5000 0.0000 0.5000
0.5000 0.5000 0.5000
```

- Total moment: 0.12 Bohr magnetons per cell
- Energy relative to the elements, uncorrected: 1.2308 eV/atom
- DOS at the Fermi energy: 7.9 states/eV/f.u.

Record 6
Below is crystalline MnSbTe2S at its relaxed geometry, with properties calculated at the GGA-PBE level.

Structure (POSCAR):
```
MnSbTe2S
1.0
5.0063 0.0000 0.0000
0.0000 5.0063 0.0000
0.0000 0.0000 5.0706
Mn Sb Te S
1 1 2 1
Direct
0.0000 0.0000 0.0000
0.0000 0.0000 0.5000
0.0000 0.5000 0.0000
0.5000 0.0000 0.0000
0.5000 0.5000 0.5000
```

- Total moment: 2.17 Bohr magnetons per cell
- Energy relative to the elements, uncorrected: 0.4953 eV/atom
- DOS at the Fermi energy: 4.8 states/eV/f.u.

Record 7
Below is crystalline MnSb2TeS at its relaxed geometry, with properties calculated at the GGA-PBE level.

Structure (POSCAR):
```
MnSb2TeS
1.0
4.9992 0.0000 0.0000
0.0000 4.9992 0.0000
0.0000 0.0000 4.9226
Mn Sb Te S
1 2 1 1
Direct
0.0000 0.0000 0.0000
0.0000 0.5000 0.0000
0.5000 0.0000 0.0000
0.0000 0.0000 0.5000
0.5000 0.5000 0.5000
```

- Total moment: 1.72 Bohr magnetons per cell
- Energy relative to the elements, uncorrected: 0.4455 eV/atom
- DOS at the Fermi energy: 4.6 states/eV/f.u.

Record 8
Below is crystalline MnSb2TeS at its relaxed geometry, with properties calculated at the GGA-PBE level.

Structure (POSCAR):
```
MnSb2TeS
1.0
5.1584 0.0000 0.0000
0.0000 5.1584 0.0000
0.0000 0.0000 5.1239
Mn Sb Te S
1 2 1 1
Direct
0.0000 0.0000 0.0000
0.0000 0.5000 0.5000
0.5000 0.0000 0.5000
0.5000 0.5000 0.0000
0.5000 0.5000 0.5000
```

- Total moment: 0.13 Bohr magnetons per cell
- Energy relative to the elements, uncorrected: 1.2082 eV/atom
- DOS at the Fermi energy: 4.9 states/eV/f.u.

Number 1: energy -5.74 eV/atom. Number 2: energy -6.19 eV/atom. Number 3: energy -4.77 eV/atom. Number 4: energy -5.67 eV/atom. Number 5: energy -3.51 eV/atom. Number 6: energy -4.25 eV/atom. Number 7: energy -4.49 eV/atom. Number 8: energy -3.73 eV/atom.